Entry 1:
HoTeAsO after structural relaxation, computed with GGA-PBE.

```
HoTeAsO
1.0
5.571 0.000 0.000
0.000 7.138 0.000
0.000 0.000 5.961
Ho Te As O
2 2 2 2
Cartesian
0.000 1.301 0.000
0.000 5.837 2.981
2.785 2.308 3.122
2.785 4.830 0.141
2.785 2.225 0.075
2.785 4.913 3.055
0.000 0.253 1.709
0.000 6.885 4.689
```


Entry 2:
HoTeAsO after structural relaxation, computed with GGA-PBE.

```
HoTeAsO
1.0
3.710 0.000 0.000
0.000 7.331 0.000
0.000 0.000 8.065
Ho Te As O
2 2 2 2
Cartesian
0.000 1.659 0.000
0.000 5.672 4.033
1.855 2.619 4.410
1.855 4.712 0.377
0.000 3.213 2.517
0.000 4.118 6.550
1.855 0.822 7.695
1.855 6.509 3.662
```


Entry 3:
HoTeAsO after structural relaxation, computed with GGA-PBE.

```
HoTeAsO
1.0
4.061 0.000 0.000
0.000 4.061 0.000
0.000 0.000 10.557
Ho Te As O
2 2 2 2
Cartesian
1.015 1.015 1.011
3.046 3.046 9.547
1.015 3.046 5.279
3.046 1.015 5.279
1.015 1.015 7.732
3.046 3.046 2.826
1.015 3.046 0.000
3.046 1.015 0.000
```


Entry 4:
HoTlAsO after structural relaxation, computed with GGA-PBE.

```
HoTlAsO
1.0
4.170 0.000 0.000
0.000 4.170 0.000
0.000 0.000 9.674
Ho Tl As O
2 2 2 2
Cartesian
1.042 1.042 0.967
3.127 3.127 8.707
1.042 3.127 4.837
3.127 1.042 4.837
1.042 1.042 7.046
3.127 3.127 2.628
1.042 3.127 0.000
3.127 1.042 0.000
```


Entry 5:
HoTlAsO after structural relaxation, computed with GGA-PBE.

```
HoTlAsO
1.0
4.630 0.000 0.000
0.000 4.630 0.000
0.000 0.000 8.323
Ho Tl As O
2 2 2 2
Cartesian
1.158 3.473 0.000
3.473 1.158 0.000
1.158 1.158 3.344
3.473 3.473 4.979
1.158 1.158 6.781
3.473 3.473 1.542
1.158 3.473 4.162
3.473 1.158 4.162
```


Entry 6:
HoTlAsO after structural relaxation, computed with GGA-PBE.

```
HoTlAsO
1.0
5.190 0.000 0.000
0.000 7.368 0.000
0.000 0.000 5.702
Ho Tl As O
2 2 2 2
Cartesian
0.000 1.112 0.000
0.000 6.257 2.851
2.595 2.052 2.410
2.595 5.317 5.261
2.595 2.221 5.232
2.595 5.147 2.381
0.000 0.801 2.055
0.000 6.567 4.906
```


Entry 7:
HoTlAsO after structural relaxation, computed with GGA-PBE.

```
HoTlAsO
1.0
3.460 0.000 0.000
0.000 9.958 0.000
0.000 0.000 5.840
Ho Tl As O
2 2 2 2
Cartesian
0.000 1.687 0.000
0.000 8.271 2.920
1.730 3.851 3.249
1.730 6.107 0.328
0.000 1.262 2.902
0.000 8.696 5.823
1.730 2.830 5.702
1.730 7.128 2.782
```


Entry 8:
HoTlAsO after structural relaxation, computed with GGA-PBE.

```
HoTlAsO
1.0
5.665 0.000 0.000
0.000 5.665 0.000
0.000 0.000 5.116
Ho Tl As O
2 2 2 2
Cartesian
1.416 4.249 0.000
4.249 1.416 0.000
1.416 1.416 2.486
4.249 4.249 2.630
1.416 1.416 5.037
4.249 4.249 0.079
1.416 4.249 2.558
4.249 1.416 2.558
```


In order of appearance, energy above the lowest structure with this stoichiometry = 10, 0, 16, 0, 955, 51, 66, 357 meV per atom.